No. 1
## RbMnP2S (PBE-GGA)

Data for a geometry-optimized RbMnP2S structure.

Cell: 5.388 5.388 5.508 Å, 90.00 90.00 90.00°
Each line ends with the local moment (μB).
Fractional coordinates of all 5 atoms:
Rb  0.000  0.000  0.000  0.00
P  0.500  0.000  0.000  -0.32
P  0.000  0.500  0.000  -0.32
Mn  0.500  0.500  0.500  4.57
S  0.000  0.000  0.500  -0.16

Calculated total energy (eV/atom): -3.040
Space-group type: P4/mmm
DOS(E_F) (states/eV/f.u.): 6.40

***

No. 2
## RbMnP2S (PBE-GGA)

Data for a geometry-optimized RbMnP2S structure.

Cell: 4.376 4.376 5.427 Å, 90.00 90.00 90.00°
Fractional coordinates of all 5 atoms:
Mn  0.000  0.000  0.000
P  0.000  0.500  0.000
P  0.500  0.000  0.000
S  0.000  0.000  0.500
Rb  0.500  0.500  0.500

Calculated total energy (eV/atom): -4.919
Space-group type: P4/mmm
DOS(E_F) (states/eV/f.u.): 8.48

***

No. 3
## Rb2MnPS4 (PBE-GGA)

Data for a geometry-optimized Rb2MnPS4 structure.

Cell: 6.149 7.290 12.254 Å, 83.93 75.47 65.06°
Each line ends with the local moment (μB).
Fractional coordinates of all 16 atoms:
S  0.318  0.820  0.096  0.00
S  0.432  0.680  0.404  0.00
S  0.888  0.680  0.596  0.00
S  0.164  0.320  0.404  0.00
S  0.516  0.320  0.596  0.00
S  0.586  0.180  0.096  0.00
S  0.234  0.180  0.904  0.00
S  0.862  0.820  0.904  0.00
Rb  0.928  0.500  0.144  0.00
Rb  0.178  0.000  0.644  0.00
Rb  0.822  0.000  0.356  0.00
Rb  0.572  0.500  0.856  0.00
Mn  0.750  0.500  0.500  3.79
Mn  0.000  0.000  0.000  3.79
P  0.500  0.000  0.000  -0.09
P  0.250  0.500  0.500  -0.09

Calculated total energy (eV/atom): -4.821
Space-group type: Fddd

***

No. 4
## RbMnP2Se8 (PBE-GGA)

Data for a geometry-optimized RbMnP2Se8 structure.

Cell: 6.080 6.080 11.232 Å, 74.30 74.30 60.00°
Each line ends with the local moment (μB).
Fractional coordinates of all 12 atoms:
Se  0.801  0.801  0.597  -0.02
Se  0.076  0.353  0.862  -0.07
Se  0.647  0.291  0.138  -0.07
Se  0.291  0.924  0.138  -0.07
Se  0.353  0.709  0.862  -0.07
Se  0.924  0.647  0.138  -0.07
Se  0.709  0.076  0.862  -0.07
Se  0.199  0.199  0.403  -0.02
Mn  0.000  0.000  0.000  2.62
P  0.733  0.733  0.800  0.00
P  0.267  0.267  0.200  0.00
Rb  0.500  0.500  0.500  0.00

Calculated total energy (eV/atom): -4.312
Space-group type: R-3
DOS(E_F) (states/eV/f.u.): 6.46

***

The lowest calculated total energy belongs to which entry?
number 2

***

Which of these has the lowest calculated total energy?
number 2

***

Look up the calculated total energy of the first one.
-3.040 eV/atom